(1)
Zr4ScAl2: optimized geometry, PBE.

The structure in POSCAR format:
```
Zr4ScAl2
1.0
7.5500 0.0000 0.0000
0.0000 5.8997 0.0000
-3.7654 0.0000 6.7540
Zr Sc Al
8 2 4
Direct
0.0404 0.2500 0.0192
0.1198 0.7500 0.4071
0.4202 0.5020 0.2713
0.4202 0.9980 0.2713
0.5798 0.0020 0.7287
0.5798 0.4980 0.7287
0.8802 0.2500 0.5929
0.9596 0.7500 0.9808
0.2444 0.7500 0.8308
0.7556 0.2500 0.1692
0.1991 0.2500 0.4647
0.3314 0.2500 0.8821
0.6686 0.7500 0.1179
0.8009 0.7500 0.5353
```

Output
calculated formation energy = -0.147 eV/atom

---

(2)
HgOsRu2Pb: optimized geometry, PBE.

The structure in POSCAR format:
```
HgOsRu2Pb
1.0
4.9668 0.0000 0.0000
0.0000 4.9668 0.0000
0.0000 0.0000 5.3420
Hg Os Ru Pb
1 1 2 1
Direct
0.0000 0.0000 0.0000
0.5000 0.5000 0.5000
0.0000 0.5000 0.0000
0.5000 0.0000 0.0000
0.0000 0.0000 0.5000
```

Output
calculated formation energy = 2.692 eV/atom

---

(3)
LiCaSm: optimized geometry, PBE.

The structure in POSCAR format:
```
LiCaSm
1.0
5.1953 0.0000 0.0000
0.0000 5.1953 0.0000
0.0000 0.0000 7.7677
Li Ca Sm
2 2 2
Direct
0.2500 0.2500 0.2413
0.7500 0.7500 0.7587
0.2500 0.7500 0.5000
0.7500 0.2500 0.5000
0.2500 0.7500 0.0000
0.7500 0.2500 0.0000
```

Output
calculated formation energy = 0.385 eV/atom

---

(4)
Er5Sn2Rh2: optimized geometry, PBE.

The structure in POSCAR format:
```
Er5Sn2Rh2
1.0
7.6628 -4.1484 0.0000
7.6628 4.1484 0.0000
0.0000 0.0000 7.1509
Er Sn Rh
10 4 4
Direct
0.0000 0.0000 0.0000
0.0562 0.7025 0.6501
0.2025 0.5562 0.1501
0.2975 0.9438 0.6501
0.4438 0.7975 0.1501
0.5000 0.5000 0.5000
0.5562 0.2025 0.8499
0.7025 0.0562 0.3499
0.7975 0.4438 0.8499
0.9438 0.2975 0.3499
0.2122 0.2122 0.0000
0.2878 0.2878 0.5000
0.7122 0.7122 0.5000
0.7878 0.7878 0.0000
0.1291 0.8709 0.3613
0.3709 0.6291 0.8613
0.6291 0.3709 0.1387
0.8709 0.1291 0.6387
```

Output
calculated formation energy = -0.723 eV/atom

---

(5)
La5Tb6Y: optimized geometry, PBE.

The structure in POSCAR format:
```
La5Tb6Y
1.0
6.2513 0.0000 0.0000
-0.0065 7.3410 0.0000
-0.2049 -3.6656 8.9213
La Tb Y
5 6 1
Direct
0.0000 0.0000 0.0000
0.3326 0.3353 0.6703
0.3341 0.8335 0.6668
0.6659 0.1665 0.3332
0.6674 0.6647 0.3297
0.1678 0.4165 0.3322
0.1678 0.9156 0.3322
0.5001 0.2509 0.0000
0.4999 0.7491 0.0000
0.8322 0.0844 0.6678
0.8322 0.5835 0.6678
0.0000 0.5000 0.0000
```

Output
calculated formation energy = 0.025 eV/atom

---

(6)
TaTi2Ru: optimized geometry, PBE.

The structure in POSCAR format:
```
TaTi2Ru
1.0
7.1473 0.0000 0.0000
0.0000 7.1473 0.0000
0.0000 0.0000 5.4063
Ta Ti Ru
4 8 4
Direct
0.0000 0.0000 0.0000
0.0000 0.5000 0.2500
0.5000 0.0000 0.7500
0.5000 0.5000 0.5000
0.2160 0.2500 0.6250
0.2500 0.7160 0.8750
0.2500 0.7840 0.3750
0.2840 0.2500 0.1250
0.7160 0.7500 0.1250
0.7500 0.2160 0.3750
0.7500 0.2840 0.8750
0.7840 0.7500 0.6250
0.0000 0.0000 0.5000
0.0000 0.5000 0.7500
0.5000 0.0000 0.2500
0.5000 0.5000 0.0000
```

Output
calculated formation energy = 0.171 eV/atom

---

(7)
SrMoSeBr2: optimized geometry, PBE.

The structure in POSCAR format:
```
SrMoSeBr2
1.0
6.2833 0.0000 0.0000
0.0000 6.2833 0.0000
0.0000 0.0000 4.6968
Sr Mo Se Br
1 1 1 2
Direct
0.0000 0.0000 0.0000
0.5000 0.5000 0.0000
0.5000 0.5000 0.5000
0.0000 0.5000 0.5000
0.5000 0.0000 0.5000
```

Output
formation energy without anion corrections = 54 meV/atom

---

(8)
Tb3BiS6: optimized geometry, PBE.

The structure in POSCAR format:
```
Tb3BiS6
1.0
5.7942 3.3453 4.6241
-5.7942 3.3453 4.6241
0.0000 -6.6905 4.6241
Tb Bi S
6 2 12
Direct
0.0632 0.5736 0.7466
0.2534 0.9368 0.4264
0.4264 0.2534 0.9368
0.5736 0.7466 0.0632
0.7466 0.0632 0.5736
0.9368 0.4264 0.2534
0.0000 0.0000 0.0000
0.5000 0.5000 0.5000
0.0293 0.8989 0.6760
0.1011 0.3240 0.9707
0.1803 0.5992 0.4193
0.3240 0.9707 0.1011
0.4008 0.5807 0.8197
0.4193 0.1803 0.5992
0.5807 0.8197 0.4008
0.5992 0.4193 0.1803
0.6760 0.0293 0.8989
0.8197 0.4008 0.5807
0.8989 0.6760 0.0293
0.9707 0.1011 0.3240
```

Output
formation energy without anion corrections = -1616 meV/atom